An optimized crystal structure of Be2PHIr. Source: Alexandria via LeMat-Bulk, functional PBE.

Its total energy is -4.83 eV per atom. The calculation puts the density at 8.2 Mg/m³. The total magnetization comes out at 0.00 Bohr magnetons per cell. The calculation puts the density of states at the Fermi level at 1.743 states/eV per cell.

The structure belongs to space group P4/mmm (No. 123); the cell edges are 3.714, 3.714 and 3.549 Å and the angles 90.00°, 90.00° and 90.00°. Symmetry generates all atoms from Be at (0.000, 0.500, 0.000), P at (0.000, 0.000, 0.500), H at (0.500, 0.500, 0.000) and Ir at (0.500, 0.500, 0.500).